An optimized crystal structure of TaFeI2N. Source: Alexandria via LeMat-Bulk, functional PBE-GGA.

Geometry as POSCAR:
```
TaFeI2N
1.0
-4.220 0.791 3.727
1.429 -4.826 2.643
2.426 1.991 2.324
Fe I Ta N
1 2 1 1
direct
0.500 0.500 0.500 Fe
0.000 0.500 0.000 I
0.500 0.000 0.000 I
0.000 0.000 0.000 Ta
0.000 0.000 0.500 N
```

- E: -5.733 eV per atom
- Formation energy without anion corrections: 615 meV per atom